VASP calculation (PBE-GGA) on an optimized crystal structure of Fe2TcW.

Properties
Total magnetization ... 1.47 μB per formula unit
Density of states at the Fermi level ... 1.132 states/eV per atom

Unit cell a=4.5584 b=4.5584 c=4.5587 alpha=99.85 beta=99.85 gamma=34.08
With the nearest neighbours (Å) after each atom.
Positions (direct):
Fe1 0.0000 0.0000 0.0000  3 Tc 2.54-2.57, 5 Fe 2.57-2.75, 4 W 2.61-2.68
Fe2 0.7382 0.7382 0.2589  4 Tc 2.52-2.77, 3 W 2.55-2.64, 5 Fe 2.57-2.75
Tc1 0.2561 0.2561 0.7963  7 Fe 2.52-2.77, 2 Tc 2.67, 3 W 2.69-2.81
W1 0.4921 0.4921 0.4885  7 Fe 2.55-2.68, 2 W 2.67, 3 Tc 2.69-2.81

---

VASP calculation (PBE-GGA) on an optimized crystal structure of Fe2TcW.

Properties
Total magnetization ... 4.59 μB per formula unit
Density of states at the Fermi level ... 0.718 states/eV per atom

Unit cell a=3.0617 b=3.0617 c=5.8083 alpha=90.00 beta=90.00 gamma=90.00
With the nearest neighbours (Å) after each atom.
Positions (direct):
Fe1 0.0000 0.0000 0.0000  4 Fe 2.52, 4 W 2.62, 1 Tc 2.81
Fe2 0.5000 0.5000 0.2231  4 Fe 2.52, 4 Tc 2.64, 1 W 2.77
Tc1 0.0000 0.0000 0.4844  4 W 2.64, 5 Fe 2.64-2.81
W1 0.5000 0.5000 0.7455  5 Fe 2.62-2.77, 4 Tc 2.64

---

| no. | E_form (meV per atom) | distance to the lowest polymorph of the same formula (meV per atom) |
| --- | --- | --- |
| 1 | 154 | 97 |
| 2 | 57 | 0 |